one) Below is an optimized crystal structure of La4YHo, with properties calculated at the PBE level.

Cell: 5.8569 7.1299 10.0416 Å, 90.01 90.00 90.00°
Positions (direct):
La  0.0003  0.5001  0.3269
La  0.0003  0.9999  0.6731
La  0.5003  0.4998  0.1706
Y  0.5000  0.2500  0.5000
La  0.4997  0.9998  0.1706
Ho  0.0002  0.2500  0.0000
Y  0.5000  0.7500  0.5000
La  0.4997  0.5002  0.8294
Ho  0.9998  0.7500  0.0000
La  0.9997  0.0001  0.3269
La  0.5003  0.0002  0.8294
La  0.9997  0.4999  0.6731

two) Below is an optimized crystal structure of La4YHo, with properties calculated at the PBE level.

Cell: 3.5550 8.3766 8.3764 Å, 90.13 89.99 90.01°
Positions (direct):
La  0.9999  0.7621  0.7621
La  0.4999  0.2600  0.7401
Ho  0.5000  0.0000  0.0000
La  0.5001  0.7400  0.2599
Y  0.0000  0.5000  0.5000
La  0.0001  0.2379  0.2379

It is one) that is most stable; the runner-up trails by 0.481 eV/atom.